1.
This record from the Alexandria database describes crystalline Tb5PrGa6 at its relaxed geometry. The functional is GGA-PBE.

Crystal system: monoclinic
Calculated density: 7.98 g/cm3
Energy of formation from the pure elements: -577 meV/atom
Uncorrected energy: -53.01 eV per formula unit

POSCAR file:
```
Tb5PrGa6
1.0
4.842 -0.029 1.608
0.039 7.212 0.013
-0.008 -0.014 8.069
Ga Tb Pr
6 5 1
direct
0.500 0.745 0.000 Ga
0.170 0.255 0.660 Ga
0.500 0.255 0.000 Ga
0.830 0.255 0.340 Ga
0.830 0.745 0.340 Ga
0.170 0.745 0.660 Ga
0.664 0.500 0.672 Tb
0.333 0.000 0.335 Tb
0.667 0.000 0.665 Tb
0.000 0.500 0.000 Tb
0.336 0.500 0.328 Tb
0.000 0.000 0.000 Pr
```



2.
This record from the Alexandria database describes crystalline In3GaF6 at its relaxed geometry. The functional is GGA-PBE.

Crystal system: orthorhombic
Formation energy without anion corrections: -197 kJ/mol of atoms
Calculated density: 4.65 g/cm3
Uncorrected energy: -42.85 eV per formula unit

POSCAR file:
```
In3GaF6
1.0
-3.730 2.134 -4.070
2.923 -3.940 -3.310
-3.245 -2.926 5.026
Ga F In
1 6 3
direct
0.000 0.000 0.000 Ga
0.306 0.306 0.251 F
0.213 0.787 0.000 F
0.945 0.945 0.251 F
0.787 0.213 0.000 F
0.694 0.694 0.749 F
0.055 0.055 0.749 F
0.500 0.500 0.000 In
0.750 0.250 0.500 In
0.250 0.750 0.500 In
```



3.
This record from the Alexandria database describes crystalline RuSe2S at its relaxed geometry. The functional is GGA-PBE.

Crystal system: trigonal
Formation energy without anion corrections: 12 kJ/mol of atoms
Calculated density: 5.50 g/cm3
Uncorrected energy: -19.89 eV per formula unit

POSCAR file:
```
RuSe2S
1.0
-6.180 -4.335 0.393
-3.487 -6.663 -0.767
-3.822 -5.854 2.873
S Se Ru
1 2 1
direct
0.000 0.000 0.000 S
0.892 0.892 0.892 Se
0.108 0.108 0.108 Se
0.500 0.500 0.500 Ru
```



4.
This record from the Alexandria database describes crystalline Ce2HoIn at its relaxed geometry. The functional is GGA-PBE.

Crystal system: tetragonal
Calculated density: 7.82 g/cm3
Energy of formation from the pure elements: -87 meV/atom
Polymorph energy (0 for the lowest one): 0.158 eV/atom
Uncorrected energy: -19.53 eV per formula unit

POSCAR file:
```
Ce2HoIn
1.0
4.204 0.000 0.000
0.000 4.204 0.000
0.000 0.000 6.724
In Ce Ho
1 2 1
direct
0.500 0.500 0.000 In
0.000 0.000 0.212 Ce
0.000 0.000 0.788 Ce
0.500 0.500 0.500 Ho
```



5.
This record from the Alexandria database describes crystalline LiP2PdCl at its relaxed geometry. The functional is GGA-PBE.

Crystal system: tetragonal
Formation energy without anion corrections: 60 kJ/mol of atoms
Calculated density: 4.06 g/cm3
Polymorph energy (0 for the lowest one): 0.546 eV/atom
Uncorrected energy: -16.67 eV per formula unit

POSCAR file:
```
LiP2PdCl
1.0
-1.053 2.966 3.039
-1.199 -3.211 2.719
4.191 -0.183 1.631
P Li Cl Pd
2 1 1 1
direct
0.500 0.000 0.000 P
0.000 0.500 0.000 P
0.000 0.000 0.000 Li
0.000 0.000 0.500 Cl
0.500 0.500 0.500 Pd
```



6.
This record from the Alexandria database describes crystalline BaCoGe at its relaxed geometry. The functional is GGA-PBE.

Crystal system: triclinic
Calculated density: 6.10 g/cm3
Energy of formation from the pure elements: -150 meV/atom
Uncorrected energy: -14.10 eV per formula unit

POSCAR file:
```
BaCoGe
1.0
-0.368 3.257 2.618
-4.698 -3.036 0.349
3.525 -4.556 3.586
Co Ge Ba
2 2 2
direct
0.563 0.201 0.448 Co
0.437 0.799 0.552 Co
0.896 0.625 0.650 Ge
0.104 0.375 0.350 Ge
0.726 0.788 0.171 Ba
0.274 0.212 0.829 Ba
```



Which of these has the highest uncorrected energy? BaCoGe



Please write out number 6 again, unchanged.
This record from the Alexandria database describes crystalline BaCoGe at its relaxed geometry. The functional is GGA-PBE.

Crystal system: triclinic
Calculated density: 6.10 g/cm3
Energy of formation from the pure elements: -150 meV/atom
Uncorrected energy: -14.10 eV per formula unit

POSCAR file:
```
BaCoGe
1.0
-0.368 3.257 2.618
-4.698 -3.036 0.349
3.525 -4.556 3.586
Co Ge Ba
2 2 2
direct
0.563 0.201 0.448 Co
0.437 0.799 0.552 Co
0.896 0.625 0.650 Ge
0.104 0.375 0.350 Ge
0.726 0.788 0.171 Ba
0.274 0.212 0.829 Ba
```



Number 4 is which compound? Ce2HoIn



Among the records above, which one has the lowest calculated density? LiP2PdCl